Record 1
VASP calculation (PBE) on a geometry-optimized SrScBr2 structure.

Relative energy among the computed polymorphs (eV/atom): 0.216
DOS at the Fermi energy (states/eV/cell): 3.22
ΔE_f (raw) (meV per atom): -900.9

abc: 3.7282 4.7789 6.9123
angles: 90.00 90.00 90.00
Last column: nearest neighbours and their distance in Å.
Atoms (fractional coordinates):
1 Sr 0.0000 0.0000 0.0000  4 Br 3.03
2 Sc 0.5000 0.0000 0.5000  4 Br 3.03
3 Br 0.0000 0.5000 0.5000  4 Sc 3.03
4 Br 0.5000 0.5000 0.0000  4 Sr 3.03

***

Record 2
VASP calculation (PBE) on a geometry-optimized Cs2AuSeCl structure.

DOS at the Fermi energy (states/eV/cell): 2.50
ΔE_f (raw) (meV per atom): -981.4

abc: 6.9762 6.9762 4.8535
angles: 90.00 90.00 90.00
Last column: nearest neighbours and their distance in Å.
Atoms (fractional coordinates):
1 Cs 0.0000 0.5000 0.0000  2 Se 3.49
2 Cs 0.5000 0.0000 0.0000  2 Se 3.49
3 Au 0.0000 0.0000 0.5000  2 Se 2.43
4 Se 0.0000 0.0000 0.0000  2 Au 2.43
5 Cl 0.5000 0.5000 0.5000  8 Cs 4.25

***

Record 3
VASP calculation (PBE) on a geometry-optimized CeNd5Pt4 structure.

DOS at the Fermi energy (states/eV/cell): 11.75
Energy relative to the elements (eV per atom): -0.8483

abc: 9.3320 9.3320 8.1358
angles: 105.36 105.36 26.14
Last column: nearest neighbours and their distance in Å.
Atoms (fractional coordinates):
1 Ce 0.0000 0.0000 0.0000  6 Pt 2.93-2.96
2 Nd 0.0000 0.0000 0.5000  4 Pt 2.93
3 Nd 0.3333 0.3333 0.1440  4 Pt 2.92-2.94
4 Nd 0.3337 0.3337 0.6522  3 Pt 2.88-2.89
5 Nd 0.6663 0.6663 0.3478  3 Pt 2.88-2.89
6 Nd 0.6667 0.6667 0.8560  4 Pt 2.92-2.94
7 Pt 0.1691 0.1691 0.1071  5 Nd 2.89-2.93, 1 Ce 2.96
8 Pt 0.4985 0.4985 0.7488  4 Nd 2.88-2.94, 2 Ce 2.93
9 Pt 0.5015 0.5015 0.2512  4 Nd 2.88-2.94, 2 Ce 2.93
10 Pt 0.8309 0.8309 0.8929  5 Nd 2.89-2.93, 1 Ce 2.96

***

Number 1: density 3942 kg/m3, spin magnetization 0.0 μB/f.u.. Number 2: density 4058 kg/m3, spin magnetization 0.0 μB/f.u.. Number 3: density 9076 kg/m3, spin magnetization 0.5 μB/f.u..